Compound: Pm2NdSm3Er6
Source: Alexandria
Functional: PBE-GGA
Structure: optimized geometry

Results
final energy: -55.63 eV/cell
calculated volume: 32.14 A^3/atom

abc: 6.206 6.206 11.744
angles: 95.03 95.03 119.98
Element x y z (fractional)
Sm  0.833  0.167  0.500
Er  0.250  0.250  0.749
Er  0.417  0.084  0.251
Pm  0.667  0.333  0.000
Nd  0.000  0.000  0.000
Pm  0.333  0.667  0.000
Sm  0.500  0.500  0.500
Er  0.750  0.750  0.251
Er  0.583  0.916  0.749
Sm  0.167  0.833  0.500
Er  0.084  0.417  0.251
Er  0.916  0.583  0.749

Compound: PmNd6Sm2Er
Source: Alexandria
Functional: PBE-GGA
Structure: optimized geometry

Results
final energy: -92.46 eV/cell
calculated volume: 34.71 A^3/atom

abc: 9.803 8.994 8.994
angles: 117.87 94.07 94.07
Element x y z (fractional)
Nd  0.945  0.880  0.246
Nd  0.688  0.012  0.569
Nd  0.555  0.754  0.120
Pm  0.750  0.023  0.977
Er  0.750  0.590  0.410
Nd  0.619  0.494  0.707
Nd  0.881  0.293  0.506
Nd  0.312  0.988  0.431
Er  0.250  0.410  0.590
Sm  0.044  0.299  0.199
Sm  0.544  0.199  0.299
Nd  0.812  0.431  0.988
Nd  0.188  0.569  0.012
Sm  0.956  0.701  0.801
Nd  0.055  0.120  0.754
Nd  0.381  0.506  0.293
Sm  0.456  0.801  0.701
Pm  0.250  0.977  0.023
Nd  0.119  0.707  0.494
Nd  0.445  0.246  0.880

Number 1: DFT formation energy 0.015 eV per atom. Number 2: DFT formation energy 0.113 eV per atom.